MnRhW PBE optimized geometry; E = -29.44 eV/cell; symmetry = I4mm, No. 107; E_form = 0.012 eV per atom; magnetization = 2.5 μB/f.u.; DOS(E_F) = 2.758 states/eV per cell
1.0
6.0720 0.0213 -0.0220
5.4509 2.6764 0.0114
0.6212 0.1138 2.6529
Mn Rh W
1 1 1
direct
0.9974 0.9974 0.0026
0.3361 0.3361 0.6639
0.6666 0.6666 0.3334

***

Cs5Sc2S6 PBE optimized geometry; E = -119.24 eV/cell; symmetry = C2/c, No. 15; magnetization = 1.1 μB/f.u.; DOS(E_F) = 22.708 states/eV per cell
1.0
-4.7707 3.3741 5.7601
-7.6701 1.6315 -2.4146
-8.5203 -14.9594 6.2109
Cs Sc S
10 4 12
direct
0.6863 0.2108 0.9987
0.7892 0.3137 0.5013
0.3137 0.7892 0.0013
0.2108 0.6863 0.4987
0.7443 0.9415 0.7216
0.0585 0.2557 0.7784
0.2557 0.0585 0.2784
0.9415 0.7443 0.2216
0.3670 0.6330 0.7500
0.6330 0.3670 0.2500
0.3590 0.0966 0.5718
0.9034 0.6410 0.9282
0.6410 0.9034 0.4282
0.0966 0.3590 0.0718
0.1084 0.0199 0.6257
0.9801 0.8916 0.8743
0.8916 0.9801 0.3743
0.0199 0.1084 0.1257
0.3935 0.3081 0.6382
0.6919 0.6065 0.8618
0.6065 0.6919 0.3618
0.3081 0.3935 0.1382
0.6352 0.8094 0.5649
0.1906 0.3648 0.9351
0.3648 0.1906 0.4351
0.8094 0.6352 0.0649

***

SrPuNO PBE optimized geometry; E = -36.71 eV/cell; symmetry = R3m, No. 160; magnetization = 5.0 μB/f.u.; DOS(E_F) = 5.146 states/eV per cell
1.0
3.5805 0.0000 0.0000
1.7903 3.1008 0.0000
1.7903 1.0336 5.9371
Sr Pu N O
1 1 1 1
direct
0.4976 0.4976 0.5072
0.9960 0.9960 0.0121
0.2646 0.2646 0.2062
0.7418 0.7418 0.7745

***

Question: Among the records above, which one has the lowest E?
Answer: Cs5Sc2S6

***

Question: Among the records above, which one has the highest DOS(E_F)?
Answer: Cs5Sc2S6

***

Question: The highest DOS(E_F) belongs to which entry?
Answer: Cs5Sc2S6

***

Please write out number 3 again, unchanged.
SrPuNO PBE optimized geometry; E = -36.71 eV/cell; symmetry = R3m, No. 160; magnetization = 5.0 μB/f.u.; DOS(E_F) = 5.146 states/eV per cell
1.0
3.5805 0.0000 0.0000
1.7903 3.1008 0.0000
1.7903 1.0336 5.9371
Sr Pu N O
1 1 1 1
direct
0.4976 0.4976 0.5072
0.9960 0.9960 0.0121
0.2646 0.2646 0.2062
0.7418 0.7418 0.7745